Here is a relaxed TcNiTe2 crystal from Alexandria via LeMat-Bulk. Energies are from PBE-GGA.

The calculation puts the formation energy (no corrections) at 0.29 eV/atom. For the total magnetization, the calculation gives 0.00 μB per cell.

It has space group P4/mmm (No. 123), with a = 3.2998 Å, b = 3.2998 Å, c = 6.6609 Å, α = 90.00°, β = 90.00° and γ = 90.00°. The asymmetric unit holds Tc at (0.0000, 0.0000, 0.0000), Ni at (0.0000, 0.0000, 0.5000) and Te at (0.5000, 0.5000, 0.2508).